No. 1
Computed, not measured: an optimized crystal structure of BiHRhW2 at the PBE-GGA level of DFT.

Cell and atoms, written as CIF:
```
data_BiHRhW2
_cell_length_a 3.9011
_cell_length_b 3.9011
_cell_length_c 4.9679
_cell_angle_alpha 90.00
_cell_angle_beta 90.00
_cell_angle_gamma 90.00
_symmetry_space_group_name_H-M 'P 4/m m m'
_symmetry_Int_Tables_number 123
_symmetry_space_group_name_Hall '-P 4 2'
loop_
_atom_site_label
_atom_site_type_symbol
_atom_site_fract_x
_atom_site_fract_y
_atom_site_fract_z
Bi1 Bi 0.0000 0.0000 0.0000
H1 H 0.0000 0.0000 0.5000
Rh1 Rh 0.5000 0.5000 0.0000
W1 W 0.0000 0.5000 0.5000
```

## Properties
The volume is 75.60 Å³/f.u. The density of states at the Fermi level comes out at 3.2 states/eV per cell. The size of the total moment is 0.0 μB per formula unit. The raw total energy comes out at -7.4765 eV per atom.


No. 2
Computed, not measured: an optimized crystal structure of BiH2RhW at the PBE-GGA level of DFT.

Cell and atoms, written as CIF:
```
data_BiH2RhW
_cell_length_a 3.7327
_cell_length_b 3.7327
_cell_length_c 5.8827
_cell_angle_alpha 90.00
_cell_angle_beta 90.00
_cell_angle_gamma 90.00
_symmetry_space_group_name_H-M 'P 4/m m m'
_symmetry_Int_Tables_number 123
_symmetry_space_group_name_Hall '-P 4 2'
loop_
_atom_site_label
_atom_site_type_symbol
_atom_site_fract_x
_atom_site_fract_y
_atom_site_fract_z
Bi1 Bi 0.0000 0.0000 0.0000
H1 H 0.0000 0.5000 0.0000
Rh1 Rh 0.0000 0.0000 0.5000
W1 W 0.5000 0.5000 0.5000
```

## Properties
The volume is 81.97 Å³/f.u. The density of states at the Fermi level comes out at 3.2 states/eV per cell. The size of the total moment is 1.3 μB per formula unit. The raw total energy comes out at -5.0397 eV per atom.


No. 3
Computed, not measured: an optimized crystal structure of Y2BiHRh at the PBE-GGA level of DFT.

Cell and atoms, written as CIF:
```
data_Y2BiHRh
_cell_length_a 5.0251
_cell_length_b 5.0251
_cell_length_c 3.9242
_cell_angle_alpha 90.00
_cell_angle_beta 90.00
_cell_angle_gamma 90.00
_symmetry_space_group_name_H-M 'P 4/m m m'
_symmetry_Int_Tables_number 123
_symmetry_space_group_name_Hall '-P 4 2'
loop_
_atom_site_label
_atom_site_type_symbol
_atom_site_fract_x
_atom_site_fract_y
_atom_site_fract_z
Y1 Y 0.0000 0.5000 0.0000
Bi1 Bi 0.0000 0.0000 0.5000
H1 H 0.5000 0.5000 0.0000
Rh1 Rh 0.5000 0.5000 0.5000
```

## Properties
The volume is 99.09 Å³/f.u. The density of states at the Fermi level comes out at 2.8 states/eV per cell. The size of the total moment is 0.0 μB per formula unit. The raw total energy comes out at -6.1050 eV per atom.


No. 4
Computed, not measured: an optimized crystal structure of Zr2BiHRh at the PBE-GGA level of DFT.

Cell and atoms, written as CIF:
```
data_Zr2BiHRh
_cell_length_a 4.4772
_cell_length_b 4.4772
_cell_length_c 4.1946
_cell_angle_alpha 90.00
_cell_angle_beta 90.00
_cell_angle_gamma 90.00
_symmetry_space_group_name_H-M 'P 4/m m m'
_symmetry_Int_Tables_number 123
_symmetry_space_group_name_Hall '-P 4 2'
loop_
_atom_site_label
_atom_site_type_symbol
_atom_site_fract_x
_atom_site_fract_y
_atom_site_fract_z
Zr1 Zr 0.0000 0.5000 0.0000
Bi1 Bi 0.0000 0.0000 0.5000
H1 H 0.5000 0.5000 0.0000
Rh1 Rh 0.5000 0.5000 0.5000
```

## Properties
The volume is 84.08 Å³/f.u. The density of states at the Fermi level comes out at 3.1 states/eV per cell. The size of the total moment is 0.0 μB per formula unit. The raw total energy comes out at -6.7279 eV per atom.


What did the second record say?
Computed, not measured: an optimized crystal structure of BiH2RhW at the PBE-GGA level of DFT.

Cell and atoms, written as CIF:
```
data_BiH2RhW
_cell_length_a 3.7327
_cell_length_b 3.7327
_cell_length_c 5.8827
_cell_angle_alpha 90.00
_cell_angle_beta 90.00
_cell_angle_gamma 90.00
_symmetry_space_group_name_H-M 'P 4/m m m'
_symmetry_Int_Tables_number 123
_symmetry_space_group_name_Hall '-P 4 2'
loop_
_atom_site_label
_atom_site_type_symbol
_atom_site_fract_x
_atom_site_fract_y
_atom_site_fract_z
Bi1 Bi 0.0000 0.0000 0.0000
H1 H 0.0000 0.5000 0.0000
Rh1 Rh 0.0000 0.0000 0.5000
W1 W 0.5000 0.5000 0.5000
```

## Properties
The volume is 81.97 Å³/f.u. The density of states at the Fermi level comes out at 3.2 states/eV per cell. The size of the total moment is 1.3 μB per formula unit. The raw total energy comes out at -5.0397 eV per atom.


Question: size of the total moment of number 4 (Zr2BiHRh)?
Answer: 0.0 μB per formula unit


Question: What is the formula in the third record?
Answer: Y2BiHRh